The following is a PBE-GGA calculation of a relaxed structure of NdIn2Pd5, from the Alexandria database. Values from VASP.

Geometry as Quantum ESPRESSO input:
```
&SYSTEM
  ibrav = 0, nat = 8, ntyp = 3
/
ATOMIC_SPECIES
Nd 144.24 Nd.upf
In 114.82 In.upf
Pd 106.42 Pd.upf
CELL_PARAMETERS angstrom
-2.117 2.913 6.463
2.117 -2.913 6.463
2.117 2.913 -6.463
ATOMIC_POSITIONS angstrom
Nd 0.000 0.000 0.000
In 2.117 0.000 3.687
In 0.000 2.913 2.776
Pd 2.117 1.522 -1.457
Pd 2.117 1.522 1.457
Pd 0.000 2.913 0.000
Pd 0.000 1.392 5.006
Pd 0.000 1.392 7.921
```

Calculated density ... 9.44 g/cm³
ΔE_f ... -0.5911 eV/atom
Total energy ... -5.117 eV per atom